Here is LiMnAsBr2 after structural relaxation from Alexandria via LeMat-Bulk. Energies are from PBE.

Cell and atoms, written as POSCAR:
```
LiMnAsBr2
1.0
5.402 0.000 0.000
0.000 5.402 0.000
0.000 0.000 4.690
Li Mn As Br
1 1 1 2
direct
0.000 0.000 0.000 Li
0.500 0.500 0.500 Mn
0.500 0.500 0.000 As
0.000 0.500 0.500 Br
0.500 0.000 0.500 Br
```

Computed properties:
Excess energy over the best structure of this formula in the dataset   0 meV per atom
ΔE_f (raw)   -0.2927 eV/atom
Calculated total energy   -4.108 eV/atom
DOS(E_F)   0.252 states/eV/atom